# 1
Here is an optimized crystal structure of Sr2SmHoSe4 from Alexandria. Energies are from PBE.

Cell: 7.318 4.227 7.490 Å, 90.00 109.02 90.00°
Fractional coordinates of all 8 atoms:
Sr  0.000  0.000  0.000
Sr  0.500  0.500  0.000
Sm  0.000  0.500  0.500
Ho  0.500  0.000  0.500
Se  0.250  0.000  0.735
Se  0.261  0.500  0.269
Se  0.739  0.500  0.731
Se  0.750  0.000  0.265

## Properties
The calculation puts the density of states at the Fermi level at 0.448 states/eV per atom. The space group is P2/m. The calculation puts the energy at -5.2125 eV/atom. As for the formation energy from raw total energies: -1888 meV/atom.

---

# 2
Here is an optimized crystal structure of SrSmHo4Se8 from Alexandria. Energies are from PBE.

Cell: 8.562 8.562 8.562 Å, 59.55 59.55 59.55°
Fractional coordinates of all 14 atoms:
Sr  0.000  0.000  0.000
Sm  0.629  0.629  0.629
Ho  0.121  0.628  0.628
Ho  0.252  0.252  0.252
Ho  0.628  0.121  0.628
Ho  0.628  0.628  0.121
Se  0.380  0.380  0.856
Se  0.380  0.856  0.380
Se  0.384  0.384  0.384
Se  0.416  0.867  0.867
Se  0.856  0.380  0.380
Se  0.862  0.862  0.862
Se  0.867  0.416  0.867
Se  0.867  0.867  0.416

## Properties
The calculation puts the density of states at the Fermi level at 0.287 states/eV per atom. The space group is R3m. The calculation puts the energy at -5.5430 eV/atom. As for the formation energy from raw total energies: -1787 meV/atom.

---

# 3
Here is an optimized crystal structure of TbSm2Ho3Se6 from Alexandria. Energies are from PBE.

Cell: 7.087 7.087 7.149 Å, 99.47 99.47 120.31°
Fractional coordinates of all 12 atoms:
Tb  0.000  0.000  0.000
Sm  0.333  0.667  0.000
Sm  0.667  0.333  0.000
Ho  0.170  0.830  0.500
Ho  0.500  0.500  0.500
Ho  0.830  0.170  0.500
Se  0.086  0.415  0.258
Se  0.242  0.242  0.740
Se  0.415  0.086  0.258
Se  0.585  0.914  0.742
Se  0.758  0.758  0.260
Se  0.914  0.585  0.742

## Properties
The calculation puts the density of states at the Fermi level at 0.466 states/eV per atom. The space group is C2/m. The calculation puts the energy at -5.8246 eV/atom. As for the formation energy from raw total energies: -1766 meV/atom.

---

# 4
Here is an optimized crystal structure of Tb2SmHo3Se6 from Alexandria. Energies are from PBE.

Cell: 7.075 7.075 7.110 Å, 99.51 99.51 120.33°
Fractional coordinates of all 12 atoms:
Tb  0.166  0.834  0.000
Tb  0.834  0.166  0.000
Sm  0.500  0.500  0.000
Ho  0.000  0.000  0.500
Ho  0.337  0.663  0.500
Ho  0.663  0.337  0.500
Se  0.076  0.414  0.743
Se  0.247  0.247  0.255
Se  0.414  0.076  0.743
Se  0.586  0.924  0.257
Se  0.753  0.753  0.745
Se  0.924  0.586  0.257

## Properties
The calculation puts the density of states at the Fermi level at 0.460 states/eV per atom. The space group is C2/m. The calculation puts the energy at -5.8089 eV/atom. As for the formation energy from raw total energies: -1757 meV/atom.